1.
The following is a PBE calculation of MoOsBr3 after structural relaxation, from Alexandria.

## Properties
DOS at the Fermi energy	6.93	states/eV/f.u.
magnetic moment	1.233	μB per atom
total DFT energy (no corrections)	-4.176	eV per atom
space-group type	No. 221
relative energy among the computed polymorphs	0	meV/atom
formation energy (no corrections)	1.24	eV per atom

```
5
Lattice="-0.1810 2.8134 4.2614 0.2746 -4.2525 2.8192 5.0989 0.3288 -0.0005" Properties=species:S:1:pos:R:3 pbc="T T T"
Mo 2.5963 -0.5552 3.5400
Br -0.0905 1.4067 2.1307
Br 0.1373 -2.1263 1.4096
Br 2.5495 0.1644 -0.0003
Os 0.0000 0.0000 0.0000
```

***

2.
The following is a PBE calculation of Mn2Cr2B after structural relaxation, from Alexandria.

## Properties
DOS at the Fermi energy	5.00	states/eV/f.u.
magnetic moment	0.714	μB per atom
formation enthalpy at 0 K	33.15	kJ per mole of atoms
total DFT energy (no corrections)	-8.509	eV per atom
space-group type	No. 127
relative energy among the computed polymorphs	0	meV/atom

```
10
Lattice="-2.7084 1.8982 -4.2560 -4.6602 -1.1033 2.4735 -0.0001 3.6274 1.6179" Properties=species:S:1:pos:R:3 pbc="T T T"
Cr -2.0250 -0.0824 0.1847
Mn -3.7870 3.0252 -1.9076
Mn -1.6857 2.2530 -0.1760
Cr -4.8624 -0.2785 0.6241
Cr -2.5061 1.0734 -2.4067
Mn -3.5817 1.3970 1.7429
B -3.6843 0.3974 -0.8913
Mn -5.6829 2.1693 0.0114
Cr -5.3436 0.8773 -1.9673
B 0.0000 0.0000 0.0000
```

***

3.
The following is a PBE calculation of Hf2MgCu6 after structural relaxation, from Alexandria.

## Properties
DOS at the Fermi energy	5.36	states/eV/f.u.
magnetic moment	0.000	μB per atom
formation enthalpy at 0 K	-8.10	kJ per mole of atoms
total DFT energy (no corrections)	-5.204	eV per atom
space-group type	No. 191

```
9
Lattice="-0.0179 -1.8288 -2.2002 -3.8359 -4.8625 4.0711 -7.4099 0.1445 -0.0616" Properties=species:S:1:pos:R:3 pbc="T T T"
Hf -3.7664 -3.4015 -0.8638
Cu -5.0300 -4.1166 1.6006
Cu -4.9618 -0.8173 -1.1404
Mg 0.0000 0.0000 0.0000
Cu -6.2337 -2.4302 0.2087
Cu -6.3019 -5.7296 2.9497
Cu -2.5730 -4.1638 1.6218
Cu -8.6908 -2.3830 0.1874
Hf -7.4973 -3.1454 2.6730
```

***

4.
The following is a PBE calculation of Tb2PmPb after structural relaxation, from Alexandria.

## Properties
DOS at the Fermi energy	8.13	states/eV/f.u.
magnetic moment	0.039	μB per atom
formation enthalpy at 0 K	-9.96	kJ per mole of atoms
total DFT energy (no corrections)	-4.533	eV per atom
space-group type	No. 225
relative energy among the computed polymorphs	200	meV/atom

```
4
Lattice="-2.5093 -4.3715 -2.2330 1.3781 -5.0895 1.6095 -3.5239 -2.9892 3.0065" Properties=species:S:1:pos:R:3 pbc="T T T"
Pb -2.3276 -6.2251 1.1915
Tb -1.1638 -3.1126 0.5958
Pm 0.0000 0.0000 0.0000
Tb -3.4914 -9.3377 1.7873
```